First-principles (GGA+U) data for Ba6Nd2YMo3O18 after structural relaxation, as listed in the Alexandria database.

Output
**Total magnetization**: 0.100 μB per atom
**Total DFT energy (no corrections)**: -0.5328 Ry/atom
**V**: 478.5 Å³ per cell
**Space-group type**: C2/m

Cell and atoms, written as CIF:
```
data_Ba6Nd2YMo3O18
_cell_length_a 10.4934
_cell_length_b 10.4934
_cell_length_c 6.0662
_cell_angle_alpha 106.25
_cell_angle_beta 106.25
_cell_angle_gamma 48.84
_symmetry_space_group_name_H-M 'P 1'
_symmetry_Int_Tables_number 1
loop_
_symmetry_equiv_pos_as_xyz
'x,y,z'
loop_
_atom_site_label
_atom_site_fract_x
_atom_site_fract_y
_atom_site_fract_z
_atom_site_occupancy
Ba1 0.0830 0.5839 0.3400 1
Ba2 0.2469 0.7531 0.0000 1
Ba3 0.4161 0.9170 0.6600 1
Ba4 0.5839 0.0830 0.3400 1
Ba5 0.7531 0.2469 0.0000 1
Ba6 0.9170 0.4161 0.6600 1
Nd1 0.3345 0.3345 0.8370 1
Nd2 0.6655 0.6655 0.1630 1
Y1 0.0000 0.0000 0.5000 1
Mo1 0.1648 0.1648 0.1620 1
Mo2 0.5000 0.5000 0.5000 1
Mo3 0.8352 0.8352 0.8380 1
O1 0.0688 0.6011 0.8351 1
O2 0.0754 0.0754 0.8637 1
O3 0.0973 0.0973 0.3559 1
O4 0.2276 0.2276 0.9644 1
O5 0.2522 0.2522 0.4551 1
O6 0.2701 0.7299 0.5000 1
O7 0.3989 0.9312 0.1649 1
O8 0.4065 0.4065 0.2254 1
O9 0.4371 0.4371 0.7138 1
O10 0.5629 0.5629 0.2862 1
O11 0.5935 0.5935 0.7746 1
O12 0.6011 0.0688 0.8351 1
O13 0.7299 0.2701 0.5000 1
O14 0.7478 0.7478 0.5449 1
O15 0.7724 0.7724 0.0356 1
O16 0.9027 0.9027 0.6441 1
O17 0.9246 0.9246 0.1363 1
O18 0.9312 0.3989 0.1649 1
```